RbVF3 | GGA+U | relaxed

a = 5.7508 Å, b = 6.8333 Å, c = 6.8358 Å
α = 60.05°, β = 89.94°, γ = 89.90°
Space group P1 (No. 1)
Inequivalent atoms, fractional coordinates:
Rb1 0.0000 0.0000 0.0000
Rb2 0.1191 0.6662 0.6672
V1 0.3205 0.3328 0.3333
V2 0.8007 0.3336 0.3339
F1 0.2831 0.6245 0.3020
F2 0.2840 0.0734 0.6250
F3 0.2847 0.3006 0.0736
F4 0.8332 0.3656 0.5934
F5 0.8338 0.5927 0.0424
F6 0.8347 0.0421 0.3657

Output
The energy comes out at -5.201 eV per atom.